CsZnIrPt2 after structural relaxation. Source: the Alexandria database, functional GGA-PBE.

Cell: 4.884 4.884 6.608 Å, 90.00 90.00 90.00°
Fractional coordinates of all 5 atoms:
1 Cs 0.000 0.000 0.000
2 Zn 0.500 0.500 0.000
3 Ir 0.000 0.000 0.500
4 Pt 0.000 0.500 0.500
5 Pt 0.500 0.000 0.500

For the formation enthalpy at 0 K, the calculation gives 460 kJ/mol of formula units. As for the density of states at the Fermi level: 1.022 states/eV/atom.

---

CsRbIr3 after structural relaxation. Source: the Alexandria database, functional GGA-PBE.

Cell: 5.218 5.218 5.218 Å, 90.00 90.00 90.00°
Fractional coordinates of all 5 atoms:
1 Cs 0.000 0.000 0.000
2 Rb 0.500 0.500 0.500
3 Ir 0.000 0.000 0.500
4 Ir 0.000 0.500 0.000
5 Ir 0.500 0.000 0.000

The energy above the most stable polymorph in this dataset is 0.000 eV/atom. For the formation enthalpy at 0 K, the calculation gives 1288 kJ/mol of formula units. As for the density of states at the Fermi level: 1.956 states/eV/atom.

---

CsRbIr3 after structural relaxation. Source: the Alexandria database, functional GGA-PBE.

Cell: 5.252 5.252 5.252 Å, 90.00 90.00 90.00°
Fractional coordinates of all 5 atoms:
1 Cs 0.000 0.000 0.000
2 Rb 0.500 0.500 0.500
3 Ir 0.000 0.500 0.500
4 Ir 0.500 0.000 0.500
5 Ir 0.500 0.500 0.000

The energy above the most stable polymorph in this dataset is 0.236 eV/atom. For the formation enthalpy at 0 K, the calculation gives 1402 kJ/mol of formula units. As for the density of states at the Fermi level: 2.319 states/eV/atom.

---

Cs3RbIr after structural relaxation. Source: the Alexandria database, functional GGA-PBE.

Cell: 6.802 6.802 6.802 Å, 90.00 90.00 90.00°
Fractional coordinates of all 5 atoms:
1 Cs 0.000 0.000 0.500
2 Cs 0.000 0.500 0.000
3 Cs 0.500 0.000 0.000
4 Rb 0.500 0.500 0.500
5 Ir 0.000 0.000 0.000

For the formation enthalpy at 0 K, the calculation gives 282 kJ/mol of formula units. As for the density of states at the Fermi level: 2.078 states/eV/atom.

---

CsRb3Ir after structural relaxation. Source: the Alexandria database, functional GGA-PBE.

Cell: 6.659 6.659 6.659 Å, 90.00 90.00 90.00°
Fractional coordinates of all 5 atoms:
1 Cs 0.000 0.000 0.000
2 Rb 0.000 0.500 0.500
3 Rb 0.500 0.000 0.500
4 Rb 0.500 0.500 0.000
5 Ir 0.500 0.500 0.500

For the formation enthalpy at 0 K, the calculation gives 310 kJ/mol of formula units. As for the density of states at the Fermi level: 1.715 states/eV/atom.

---

Cs2RbTeIr after structural relaxation. Source: the Alexandria database, functional GGA-PBE.

Cell: 5.807 5.807 6.398 Å, 90.00 90.00 90.00°
Fractional coordinates of all 5 atoms:
1 Cs 0.000 0.500 0.000
2 Cs 0.500 0.000 0.000
3 Rb 0.000 0.000 0.500
4 Te 0.500 0.500 0.500
5 Ir 0.000 0.000 0.000

For the energy relative to the elements, uncorrected, the calculation gives 283 meV per atom. As for the density of states at the Fermi level: 1.290 states/eV/atom.